A relaxed Li2LaBi2 crystal, computed with PBE.

Properties
DFT formation energy: -632 meV/atom
ΔE to the lowest computed polymorph: 31 meV/atom
Magnetization: 0.0 μB per formula unit
Total energy: -19.68 eV per cell

Lattice parameters (Å, degrees): 4.4954 4.4954 7.2674 71.98 71.98 90.00
Last column: nearest neighbours and their distance in Å.
Atoms (fractional coordinates):
Li1 0.2500 0.7500 0.5000  4 Bi 2.81
Li2 0.7500 0.2500 0.5000  4 Bi 2.81
Bi1 0.6206 0.6206 0.7588  4 Li 2.81
Bi2 0.3794 0.3794 0.2412  4 Li 2.81
La1 0.0000 0.0000 0.0000  8 Bi 3.55, 8 Li 3.97



A relaxed Ni2RuBr crystal, computed with PBE.

Properties
ΔE to the lowest computed polymorph: 79 meV/atom
Energy relative to the elements, uncorrected: 2.3 eV/f.u.
Magnetization: 1.1 μB per formula unit
Total energy: -20.26 eV per cell

Lattice parameters (Å, degrees): 3.0476 3.0479 6.1444 90.00 90.00 90.00
Last column: nearest neighbours and their distance in Å.
Atoms (fractional coordinates):
Br1 0.5000 0.5000 0.7632  5 Ni 2.73-2.96, 4 Ru 2.87, 4 Br 3.05
Ru1 0.0000 0.0000 0.4557  5 Ni 2.52-2.57
Ni1 0.5000 0.5000 0.2445  4 Ni 2.51, 4 Ru 2.52
Ni2 0.0000 0.0000 0.0366  4 Ni 2.51, 1 Ru 2.57, 4 Br 2.73



A relaxed Er6CuSb3 crystal, computed with PBE.

Properties
Energy relative to the elements, uncorrected: -5.2 eV/f.u.
Magnetization: 0.0 μB per formula unit
Total energy: -98.00 eV per cell

Lattice parameters (Å, degrees): 6.8908 9.3646 9.3646 108.43 90.00 90.00
Last column: nearest neighbours and their distance in Å.
Atoms (fractional coordinates):
Er1 0.1092 0.7522 0.6386  4 Sb 3.02-3.16
Er2 0.7197 0.5575 0.1021  1 Cu 2.82, 3 Sb 2.99-3.09
Er3 0.6092 0.6386 0.7522  4 Sb 3.02-3.16
Er4 0.2197 0.4425 0.8979  1 Cu 2.82, 3 Sb 2.99-3.09
Er5 0.7877 0.0214 0.9786  2 Cu 2.76-3.02, 2 Sb 3.04
Er6 0.7197 0.8979 0.4425  1 Cu 2.82, 3 Sb 2.99-3.09
Er7 0.6092 0.2478 0.3614  4 Sb 3.02-3.16
Er8 0.1092 0.3614 0.2478  4 Sb 3.02-3.16
Er9 0.2197 0.1021 0.5575  1 Cu 2.82, 3 Sb 2.99-3.09
Er10 0.7055 0.2512 0.7488  1 Cu 2.93, 2 Sb 3.26
Er11 0.2877 0.9786 0.0214  2 Cu 2.76-3.02, 2 Sb 3.04
Er12 0.2055 0.7488 0.2512  1 Cu 2.93, 2 Sb 3.26
Sb1 0.9838 0.7203 0.9360  7 Er 2.99-3.26
Sb2 0.4838 0.9360 0.7203  7 Er 2.99-3.26
Sb3 0.9838 0.0640 0.2797  7 Er 2.99-3.26
Sb4 0.4838 0.2797 0.0640  7 Er 2.99-3.26
Sb5 0.7979 0.5697 0.4303  6 Er 3.04-3.16
Sb6 0.2979 0.4303 0.5697  6 Er 3.04-3.16
Cu1 0.0689 0.1510 0.8490  5 Er 2.76-3.02
Cu2 0.5689 0.8490 0.1510  5 Er 2.76-3.02



A relaxed CuIr2Au crystal, computed with PBE.

Properties
DFT formation energy: 180 meV/atom
ΔE to the lowest computed polymorph: 63 meV/atom
Magnetization: 0.0 μB per formula unit
Total energy: -24.38 eV per cell

Lattice parameters (Å, degrees): 3.8323 2.7883 6.2883 63.80 90.00 90.00
Last column: nearest neighbours and their distance in Å.
Atoms (fractional coordinates):
Cu1 0.5000 0.7513 0.7499  5 Ir 2.61-2.81, 4 Au 2.70, 2 Cu 2.79
Au1 0.0000 0.4811 0.5192  4 Cu 2.70, 2 Au 2.79, 6 Ir 2.81-2.93
Ir1 0.0000 0.9815 0.0177  6 Ir 2.61-2.79, 4 Cu 2.81, 2 Au 2.81-2.83
Ir2 0.5000 0.2861 0.2132  6 Ir 2.61-2.79, 1 Cu 2.61